Crystalline AcPPb at its relaxed geometry, computed with GGA-PBE.

Polymorph energy (0 for the lowest one) in kJ/mol of atoms: 0.0
Formation enthalpy at 0 K in eV per atom: -0.77
Density of states at the Fermi level in states/eV/cell: 0.611
Crystal system: trigonal

abc: 8.5310 8.5310 8.5310
angles: 36.72 36.72 36.72
Last column: nearest neighbours and their distance in Å.
Element x y z (fractional)
Ac (0.0993, 0.0993, 0.0993)  4 P 2.95-3.11
Ac (0.9007, 0.9007, 0.9007)  4 P 2.95-3.11
P (0.2231, 0.2231, 0.2231)  1 Pb 2.73, 1 Ac 2.95
P (0.7769, 0.7769, 0.7769)  1 Pb 2.73, 1 Ac 2.95
Pb (0.3376, 0.3376, 0.3376)  1 P 2.73
Pb (0.6624, 0.6624, 0.6624)  1 P 2.73